{"formula": "NaTiRe2Rh", "functional": "PBE", "state": "relaxed", "space_group": "No. 123", "delta_e_f_mev_per_atom": 1683, "energy_ev_per_atom": -6.609, "lattice_angstrom": [[4.699, 0.000, 0.000], [0.000, 4.699, 0.000], [0.000, 0.000, 4.633]], "species": ["Na", "Ti", "Re", "Re", "Rh"], "fractional_positions": [[0.000, 0.000, 0.000], [0.500, 0.500, 0.000], [0.000, 0.500, 0.500], [0.500, 0.000, 0.500], [0.000, 0.000, 0.500]]}

=====

{"formula": "NaRe2Ru", "functional": "PBE", "state": "relaxed", "space_group": "No. 225", "polymorph_energy_ev_per_atom": 0.000, "delta_e_f_mev_per_atom": 1066, "energy_ev_per_atom": -7.806, "lattice_angstrom": [[0.000, 3.109, 3.109], [3.109, 0.000, 3.109], [3.109, 3.109, 0.000]], "species": ["Na", "Re", "Re", "Ru"], "fractional_positions": [[0.000, 0.000, 0.000], [0.250, 0.250, 0.250], [0.750, 0.750, 0.750], [0.500, 0.500, 0.500]]}

=====

{"formula": "Na3ReRu", "functional": "PBE", "state": "relaxed", "space_group": "No. 221", "polymorph_energy_ev_per_atom": 0.000, "delta_e_f_mev_per_atom": 2114, "energy_ev_per_atom": -3.022, "lattice_angstrom": [[5.303, 0.000, 0.000], [0.000, 5.303, 0.000], [0.000, 0.000, 5.303]], "species": ["Na", "Na", "Na", "Re", "Ru"], "fractional_positions": [[0.000, 0.000, 0.500], [0.000, 0.500, 0.000], [0.500, 0.000, 0.000], [0.500, 0.500, 0.500], [0.000, 0.000, 0.000]]}

=====

| no. | total magnetic moment (μB per formula unit) |
| --- | --- |
| 1 | 0.00 |
| 2 | 0.00 |
| 3 | 6.00 |